MgFeI2N | GGA-PBEsol | optimized geometry

```
MgFeI2N
1.0
3.9385 0.0000 0.0000
0.0000 5.6034 0.0000
0.0000 0.0000 5.6034
I N Fe Mg
2 1 1 1
direct
0.0000 0.5000 0.0000
0.0000 0.0000 0.5000
0.5000 0.0000 0.0000
0.5000 0.5000 0.5000
0.0000 0.0000 0.0000
```

Calculated values
**Calculated volume**: 123.7 Å³/cell
**Space-group type**: P4/mmm
**Formation energy (no corrections)**: 4.140 eV/f.u.

=====

LiAs2BrF | GGA-PBEsol | optimized geometry

```
LiAs2BrF
1.0
-4.0708 0.6750 1.7156
0.7503 -3.1920 3.0362
1.7213 3.1213 2.8561
F Li As Br
1 1 2 1
direct
0.5000 0.5000 0.5000
0.0000 0.0000 0.0000
0.5000 0.0000 0.0000
0.0000 0.5000 0.0000
0.0000 0.0000 0.5000
```

Calculated values
**Calculated volume**: 91.2 Å³/cell
**Space-group type**: P4/mmm
**Formation energy (no corrections)**: 0.684 eV/f.u.